Computed, not measured: Li4SiPd2Pb after structural relaxation at the PBE level of DFT.

Properties
Total DFT energy (no corrections), eV/atom: -3.88

abc: 4.284 4.284 6.491
angles: 90.00 90.00 90.00
Fractional positions:
Pb 0.000 0.000 0.000
Li 0.500 0.000 0.279
Li 0.000 0.000 0.500
Li 0.000 0.500 0.721
Li 0.500 0.500 0.000
Si 0.500 0.500 0.500
Pd 0.000 0.500 0.292
Pd 0.500 0.000 0.708